First-principles (PBE) data for crystalline Y2PbCN at its relaxed geometry, as listed in the Alexandria database.

Results
Energy in eV for the cell shown: -32.4
Formation energy without anion corrections in eV per atom: 0.35

Cell and atoms, written as POSCAR:
```
Y2PbCN
1.0
-3.717 -1.796 -2.542
1.925 -3.530 -0.322
-2.082 -1.510 4.110
N Y C Pb
1 2 1 1
direct
0.000 0.000 0.000 N
0.000 0.000 0.500 Y
0.500 0.000 0.000 Y
0.000 0.500 0.000 C
0.500 0.500 0.500 Pb
```

***

First-principles (PBE) data for crystalline ZnPbC2N at its relaxed geometry, as listed in the Alexandria database.

Results
Energy in eV for the cell shown: -19.9
Formation energy without anion corrections in eV per atom: 2.38

Cell and atoms, written as POSCAR:
```
ZnPbC2N
1.0
-3.123 0.197 2.545
-2.238 -2.518 -2.551
1.398 -3.233 1.965
Pb C Zn N
1 2 1 1
direct
0.500 0.500 0.500 Pb
0.000 0.000 0.500 C
0.500 0.000 0.000 C
0.000 0.000 0.000 Zn
0.000 0.500 0.000 N
```